The following is a PBE calculation of a relaxed structure of KHg6Pb2, from Alexandria via LeMat-Bulk.

Cell and atoms, written as CIF:
```
data_KHg6Pb2
_chemical_formula_sum 'K2 Hg12 Pb4'
_symmetry_space_group_name_H-M 'I m m m'
_symmetry_Int_Tables_number 71
_symmetry_space_group_name_Hall '-I 2 2'
_cell_length_a 4.7821
_cell_length_b 8.4142
_cell_length_c 14.1815
_cell_angle_alpha 90.00
_cell_angle_beta 90.00
_cell_angle_gamma 90.00
loop_
_atom_site_label
_atom_site_type_symbol
_atom_site_fract_x
_atom_site_fract_y
_atom_site_fract_z
_atom_site_occupancy
K1 K 0.0000 0.0000 0.0000 1
Hg1 Hg 0.0000 0.1865 0.5000 1
Hg2 Hg 0.0000 0.3094 0.3096 1
Pb1 Pb 0.0000 0.5000 0.1192 1
```

Summary:
- VASP energy (eV/atom) = -1.201
- calculated formation energy (kcal/mol of atoms) = -1.238
- calculated volume (Å³/atom) = 31.70